1.
Computed, not measured: a geometry-optimized Si3W5 structure at the PBE level of DFT.

## Properties
**Space-group type**: Cmmm, No. 65
**VASP energy**: -10.025 eV/atom

Lattice parameters (Å, degrees): 6.8921 8.1298 4.2568 90.00 90.00 90.00
Closest atoms and distances in Å follow each position.
Sites, in units of the cell vectors:
1 Si 0.0000 0.0000 0.0000  8 W 2.53-2.66
2 Si 0.0000 0.2830 0.5000  10 W 2.68-2.76
3 Si 0.0000 0.7170 0.5000  10 W 2.68-2.76
4 Si 0.5000 0.2170 0.5000  10 W 2.68-2.76
5 Si 0.5000 0.5000 0.0000  8 W 2.53-2.66
6 Si 0.5000 0.7830 0.5000  10 W 2.68-2.76
7 W 0.0000 0.5000 0.0000  8 W 2.66-2.97, 4 Si 2.76
8 W 0.1990 0.0000 0.5000  6 Si 2.53-2.72, 1 W 2.74
9 W 0.2500 0.2500 0.0000  6 Si 2.66-2.75, 6 W 2.66-2.96
10 W 0.2500 0.7500 0.0000  6 W 2.66-2.96, 6 Si 2.66-2.75
11 W 0.3010 0.5000 0.5000  6 Si 2.53-2.72, 1 W 2.74
12 W 0.5000 0.0000 0.0000  8 W 2.66-2.97, 4 Si 2.76
13 W 0.6990 0.5000 0.5000  6 Si 2.53-2.72, 1 W 2.74
14 W 0.7500 0.2500 0.0000  6 W 2.66-2.96, 6 Si 2.66-2.75
15 W 0.7500 0.7500 0.0000  6 Si 2.66-2.75, 6 W 2.66-2.96
16 W 0.8010 0.0000 0.5000  6 Si 2.53-2.72, 1 W 2.74


2.
Computed, not measured: a geometry-optimized MnTl2Zn structure at the PBE level of DFT.

## Properties
**Formation energy**: 0.404 eV/atom
**Space-group type**: C2/m, No. 12
**VASP energy**: -3.390 eV/atom

Lattice parameters (Å, degrees): 9.0146 3.4167 5.9154 90.00 102.02 90.00
Closest atoms and distances in Å follow each position.
Sites, in units of the cell vectors:
1 Mn 0.0000 0.0000 0.0000  6 Tl 2.93-2.97
2 Mn 0.5000 0.5000 0.0000  6 Tl 2.93-2.97
3 Tl 0.2491 0.0000 0.7524  3 Mn 2.93-2.97, 3 Zn 2.96-2.97
4 Tl 0.2509 0.5000 0.2476  3 Mn 2.93-2.97, 3 Zn 2.96-2.97
5 Tl 0.7491 0.5000 0.7524  3 Mn 2.93-2.97, 3 Zn 2.96-2.97
6 Tl 0.7509 0.0000 0.2476  3 Mn 2.93-2.97, 3 Zn 2.96-2.97
7 Zn 0.0000 0.5000 0.5000  6 Tl 2.96-2.97
8 Zn 0.5000 0.0000 0.5000  6 Tl 2.96-2.97


3.
Computed, not measured: a geometry-optimized CaSbIr2 structure at the PBE level of DFT.

## Properties
**Space-group type**: C2/m, No. 12
**VASP energy**: -5.970 eV/atom

Lattice parameters (Å, degrees): 9.1708 3.1105 5.4755 90.00 99.38 90.00
Closest atoms and distances in Å follow each position.
Sites, in units of the cell vectors:
1 Ca 0.0000 0.0000 0.0000  6 Ir 2.97-3.03, 2 Ca 3.11, 4 Sb 3.15
2 Ca 0.5000 0.5000 0.0000  6 Ir 2.97-3.03, 2 Ca 3.11, 4 Sb 3.15
3 Sb 0.0000 0.5000 0.5000  6 Ir 2.75-2.82
4 Sb 0.5000 0.0000 0.5000  6 Ir 2.75-2.82
5 Ir 0.2460 0.0000 0.7074  3 Sb 2.75-2.82, 2 Ir 2.76, 3 Ca 2.97-3.03
6 Ir 0.2540 0.5000 0.2926  3 Sb 2.75-2.82, 2 Ir 2.76, 3 Ca 2.97-3.03
7 Ir 0.7460 0.5000 0.7074  3 Sb 2.75-2.82, 2 Ir 2.76, 3 Ca 2.97-3.03
8 Ir 0.7540 0.0000 0.2926  3 Sb 2.75-2.82, 2 Ir 2.76, 3 Ca 2.97-3.03